Tm8P3S3N | GGA-PBE | optimized geometry

It has space group R-3m (No. 166, hexagonal axes), with a = 7.6831 Å, b = 7.6831 Å, c = 18.7422 Å, α = 90.00°, β = 90.00° and γ = 120.00°. Symmetry generates all atoms from Tm at (0.0000, 0.0000, 0.2476), Tm at (0.0292, 0.5146, 0.7443), P at (0.0000, 0.5000, 0.5000), S at (0.0000, 0.5000, 0.0000) and N at (0.0000, 0.0000, 0.0000).

The calculation puts the density at 8.08 g/cm3. The formation energy without anion corrections comes out at -1.635 eV/atom. The value obtained for the density of states at the Fermi level is 24.0 states/eV per cell. The total magnetic moment is 0.00 Bohr magnetons per cell.